Entry 1:
Pm2DyHoTm4, relaxed, DFT PBE; space group = Imma; E_form = 338.5 kJ/mol of formula units; density = 8.20 g/cm3; size of the total moment = 2.75 μB/f.u.
1.0
9.2920 -0.0516 -1.7552
-0.0581 9.2920 -1.7552
-5.8500 -5.8541 8.2899
Pm Dy Ho Tm
4 2 2 8
direct
0.5000 0.0000 0.0000
0.5000 0.0000 0.5000
0.0000 0.0000 0.5000
0.5000 0.5000 0.0000
0.0000 0.5000 0.0000
0.0000 0.5000 0.5000
0.5000 0.5000 0.5000
0.0000 0.0000 0.0000
0.2466 0.7519 0.9993
0.7481 0.2534 0.5007
0.2519 0.7466 0.4993
0.7534 0.2481 0.0007
0.7504 0.7482 0.9963
0.7518 0.7496 0.5037
0.2482 0.2504 0.4963
0.2496 0.2518 0.0037


Entry 2:
AgPPt4, relaxed, DFT PBE; space group = F-43m; E_form = 200.8 kJ/mol of formula units; energy relative to the lowest polymorph listed for this composition = 505 meV per atom; density = 14.62 g/cm3; size of the total moment = 0.00 μB/f.u.
1.0
4.0896 -1.8890 2.7640
3.1714 3.3139 2.6254
-0.0983 0.1233 5.2827
Ag P Pt
1 1 4
direct
0.7500 0.7500 0.7500
0.0000 0.0000 0.0000
0.8752 0.3749 0.3749
0.3749 0.3749 0.8752
0.3749 0.8752 0.3749
0.3749 0.3749 0.3749


Entry 3:
YCu2AuC, relaxed, DFT PBE; space group = P4/mmm; E_form = 827.1 kJ/mol of formula units; energy relative to the lowest polymorph listed for this composition = 888 meV per atom; density = 6.45 g/cm3; size of the total moment = 0.00 μB/f.u.
1.0
5.1279 0.0000 0.0000
0.0000 4.1590 0.0000
0.0000 0.0000 5.1279
Y C Au Cu
1 1 1 2
direct
0.0000 0.0000 0.0000
0.0000 0.5000 0.0000
0.5000 0.5000 0.5000
0.0000 0.0000 0.5000
0.5000 0.0000 0.0000


Q: Which of these has the highest E_form?
A: YCu2AuC